one) TlIrBr | GGA-PBEsol | relaxed

Properties
Magnetic moment   2.179 Bohr magnetons per cell
DOS(E_F)   1.12 states/eV/atom

CIF file:
```
data_TlIrBr
_symmetry_space_group_name_H-M 'F -4 3 m'
_symmetry_Int_Tables_number 216
_symmetry_space_group_name_Hall 'F -4 2 3'
_cell_length_a 6.603
_cell_length_b 6.603
_cell_length_c 6.603
_cell_angle_alpha 90.00
_cell_angle_beta 90.00
_cell_angle_gamma 90.00
loop_
_atom_site_label
_atom_site_type_symbol
_atom_site_fract_x
_atom_site_fract_y
_atom_site_fract_z
Tl1 Tl 0.000 0.000 0.000
Ir1 Ir 0.250 0.250 0.250
Br1 Br 0.250 0.250 0.750
```

two) TlIrBr | GGA-PBEsol | relaxed

Properties
Magnetic moment   0.001 Bohr magnetons per cell
DOS(E_F)   0.88 states/eV/atom

CIF file:
```
data_TlIrBr
_symmetry_space_group_name_H-M 'F m m 2'
_symmetry_Int_Tables_number 42
_symmetry_space_group_name_Hall 'F 2 -2'
_cell_length_a 3.351
_cell_length_b 5.486
_cell_length_c 13.471
_cell_angle_alpha 90.00
_cell_angle_beta 90.00
_cell_angle_gamma 90.00
loop_
_atom_site_label
_atom_site_type_symbol
_atom_site_fract_x
_atom_site_fract_y
_atom_site_fract_z
Tl1 Tl 0.000 0.000 0.000
Ir1 Ir 0.000 0.000 0.663
Br1 Br 0.000 0.000 0.303
```

three) TlIrBr | GGA-PBEsol | relaxed

Properties
Magnetic moment   0.000 Bohr magnetons per cell
DOS(E_F)   0.80 states/eV/atom

CIF file:
```
data_TlIrBr
_symmetry_space_group_name_H-M 'P -6 m 2'
_symmetry_Int_Tables_number 187
_symmetry_space_group_name_Hall 'P -6 2'
_cell_length_a 4.5592
_cell_length_b 4.5592
_cell_length_c 3.2966
_cell_angle_alpha 90.00
_cell_angle_beta 90.00
_cell_angle_gamma 120.00
loop_
_atom_site_label
_atom_site_type_symbol
_atom_site_fract_x
_atom_site_fract_y
_atom_site_fract_z
Tl1 Tl 0.0000 0.0000 0.0000
Ir1 Ir 0.6667 0.3333 0.5000
Br1 Br 0.3333 0.6667 0.5000
```

Result of the stability comparison: three) is the most stable of them.

one) TlIrBr2 | GGA-PBEsol | relaxed

Properties
Magnetic moment   0.000 Bohr magnetons per cell
DOS(E_F)   0.49 states/eV/atom

CIF file:
```
data_TlIrBr2
_symmetry_space_group_name_H-M 'P 4 m m'
_symmetry_Int_Tables_number 99
_symmetry_space_group_name_Hall 'P 4 -2'
_cell_length_a 3.455
_cell_length_b 3.455
_cell_length_c 7.875
_cell_angle_alpha 90.00
_cell_angle_beta 90.00
_cell_angle_gamma 90.00
loop_
_atom_site_label
_atom_site_type_symbol
_atom_site_fract_x
_atom_site_fract_y
_atom_site_fract_z
Tl1 Tl 0.000 0.000 0.000
Ir1 Ir 0.500 0.500 0.666
Br1 Br 0.000 0.000 0.579
Br2 Br 0.500 0.500 0.239
```

two) TlIrBr2 | GGA-PBEsol | relaxed

Properties
Magnetic moment   0.004 Bohr magnetons per cell
DOS(E_F)   0.64 states/eV/atom

CIF file:
```
data_TlIrBr2
_symmetry_space_group_name_H-M 'C m m m'
_symmetry_Int_Tables_number 65
_symmetry_space_group_name_Hall '-C 2 2'
_cell_length_a 3.587
_cell_length_b 6.061
_cell_length_c 8.981
_cell_angle_alpha 90.00
_cell_angle_beta 90.00
_cell_angle_gamma 90.00
loop_
_atom_site_label
_atom_site_type_symbol
_atom_site_fract_x
_atom_site_fract_y
_atom_site_fract_z
Tl1 Tl 0.000 0.000 0.000
Ir1 Ir 0.000 0.000 0.500
Br1 Br 0.000 0.500 0.313
```

Result of the stability comparison: two) is the most stable of them.

one) YIrBr2 | GGA-PBEsol | relaxed

Properties
Magnetic moment   0.000 Bohr magnetons per cell
DOS(E_F)   0.66 states/eV/atom

CIF file:
```
data_YIrBr2
_symmetry_space_group_name_H-M 'P 4/m m m'
_symmetry_Int_Tables_number 123
_symmetry_space_group_name_Hall '-P 4 2'
_cell_length_a 4.448
_cell_length_b 4.448
_cell_length_c 3.905
_cell_angle_alpha 90.00
_cell_angle_beta 90.00
_cell_angle_gamma 90.00
loop_
_atom_site_label
_atom_site_type_symbol
_atom_site_fract_x
_atom_site_fract_y
_atom_site_fract_z
Y1 Y 0.000 0.000 0.000
Ir1 Ir 0.500 0.500 0.000
Br1 Br 0.000 0.500 0.500
```

two) YIrBr2 | GGA-PBEsol | relaxed

Properties
Magnetic moment   3.744 Bohr magnetons per cell
DOS(E_F)   1.12 states/eV/atom

CIF file:
```
data_YIrBr2
_symmetry_space_group_name_H-M 'R -3 m'
_symmetry_Int_Tables_number 166
_symmetry_space_group_name_Hall '-R 3 2"'
_cell_length_a 3.3382
_cell_length_b 3.3382
_cell_length_c 27.6806
_cell_angle_alpha 90.00
_cell_angle_beta 90.00
_cell_angle_gamma 120.00
loop_
_atom_site_label
_atom_site_type_symbol
_atom_site_fract_x
_atom_site_fract_y
_atom_site_fract_z
Y1 Y 0.0000 0.0000 0.0000
Ir1 Ir 0.0000 0.0000 0.5000
Br1 Br 0.0000 0.0000 0.2601
```

Result of the stability comparison: one) is the most stable of them.

one) YIrBr2 | GGA-PBEsol | relaxed

Properties
Magnetic moment   0.002 Bohr magnetons per cell
DOS(E_F)   1.17 states/eV/atom

CIF file:
```
data_YIrBr2
_symmetry_space_group_name_H-M 'P 4/m m m'
_symmetry_Int_Tables_number 123
_symmetry_space_group_name_Hall '-P 4 2'
_cell_length_a 3.467
_cell_length_b 3.467
_cell_length_c 6.591
_cell_angle_alpha 90.00
_cell_angle_beta 90.00
_cell_angle_gamma 90.00
loop_
_atom_site_label
_atom_site_type_symbol
_atom_site_fract_x
_atom_site_fract_y
_atom_site_fract_z
Y1 Y 0.000 0.000 0.000
Ir1 Ir 0.000 0.000 0.500
Br1 Br 0.500 0.500 0.243
```

two) YIrBr2 | GGA-PBEsol | relaxed

Properties
Magnetic moment   0.034 Bohr magnetons per cell
DOS(E_F)   1.23 states/eV/atom

CIF file:
```
data_YIrBr2
_symmetry_space_group_name_H-M 'R -3 m'
_symmetry_Int_Tables_number 166
_symmetry_space_group_name_Hall '-R 3 2"'
_cell_length_a 3.7770
_cell_length_b 3.7770
_cell_length_c 24.8045
_cell_angle_alpha 90.00
_cell_angle_beta 90.00
_cell_angle_gamma 120.00
loop_
_atom_site_label
_atom_site_type_symbol
_atom_site_fract_x
_atom_site_fract_y
_atom_site_fract_z
Y1 Y 0.0000 0.0000 0.0000
Ir1 Ir 0.0000 0.0000 0.5000
Br1 Br 0.0000 0.0000 0.1130
```

three) YIrBr2 | GGA-PBEsol | relaxed

Properties
Magnetic moment   0.012 Bohr magnetons per cell
DOS(E_F)   1.11 states/eV/atom

CIF file:
```
data_YIrBr2
_symmetry_space_group_name_H-M 'F m -3 m'
_symmetry_Int_Tables_number 225
_symmetry_space_group_name_Hall '-F 4 2 3'
_cell_length_a 6.811
_cell_length_b 6.811
_cell_length_c 6.811
_cell_angle_alpha 90.00
_cell_angle_beta 90.00
_cell_angle_gamma 90.00
loop_
_atom_site_label
_atom_site_type_symbol
_atom_site_fract_x
_atom_site_fract_y
_atom_site_fract_z
Y1 Y 0.000 0.000 0.000
Ir1 Ir 0.000 0.000 0.500
Br1 Br 0.250 0.250 0.250
```

four) YIrBr2 | GGA-PBEsol | relaxed

Properties
Magnetic moment   0.629 Bohr magnetons per cell
DOS(E_F)   1.76 states/eV/atom

CIF file:
```
data_YIrBr2
_symmetry_space_group_name_H-M 'F -4 3 m'
_symmetry_Int_Tables_number 216
_symmetry_space_group_name_Hall 'F -4 2 3'
_cell_length_a 6.918
_cell_length_b 6.918
_cell_length_c 6.918
_cell_angle_alpha 90.00
_cell_angle_beta 90.00
_cell_angle_gamma 90.00
loop_
_atom_site_label
_atom_site_type_symbol
_atom_site_fract_x
_atom_site_fract_y
_atom_site_fract_z
Y1 Y 0.000 0.000 0.000
Ir1 Ir 0.250 0.250 0.250
Br1 Br 0.000 0.000 0.500
Br2 Br 0.250 0.250 0.750
```

Result of the stability comparison: three) is the most stable of them.

one) YIr2Br | GGA-PBEsol | relaxed

Properties
Magnetic moment   0.000 Bohr magnetons per cell
DOS(E_F)   0.73 states/eV/atom

CIF file:
```
data_YIr2Br
_symmetry_space_group_name_H-M 'P m m m'
_symmetry_Int_Tables_number 47
_symmetry_space_group_name_Hall '-P 2 2'
_cell_length_a 3.064
_cell_length_b 4.729
_cell_length_c 4.776
_cell_angle_alpha 90.00
_cell_angle_beta 90.00
_cell_angle_gamma 90.00
loop_
_atom_site_label
_atom_site_type_symbol
_atom_site_fract_x
_atom_site_fract_y
_atom_site_fract_z
Y1 Y 0.000 0.000 0.000
Ir1 Ir 0.000 0.500 0.500
Ir2 Ir 0.500 0.000 0.500
Br1 Br 0.500 0.500 0.000
```

two) YIr2Br | GGA-PBEsol | relaxed

Properties
Magnetic moment   0.001 Bohr magnetons per cell
DOS(E_F)   1.64 states/eV/atom

CIF file:
```
data_YIr2Br
_symmetry_space_group_name_H-M 'F -4 3 m'
_symmetry_Int_Tables_number 216
_symmetry_space_group_name_Hall 'F -4 2 3'
_cell_length_a 6.617
_cell_length_b 6.617
_cell_length_c 6.617
_cell_angle_alpha 90.00
_cell_angle_beta 90.00
_cell_angle_gamma 90.00
loop_
_atom_site_label
_atom_site_type_symbol
_atom_site_fract_x
_atom_site_fract_y
_atom_site_fract_z
Y1 Y 0.000 0.000 0.000
Ir1 Ir 0.000 0.000 0.500
Ir2 Ir 0.250 0.250 0.250
Br1 Br 0.250 0.250 0.750
```

Result of the stability comparison: one) is the most stable of them.

one) ZnIr2Br | GGA-PBEsol | relaxed

Properties
Magnetic moment   0.000 Bohr magnetons per cell
DOS(E_F)   0.80 states/eV/atom

CIF file:
```
data_ZnIr2Br
_symmetry_space_group_name_H-M 'I m m 2'
_symmetry_Int_Tables_number 44
_symmetry_space_group_name_Hall 'I 2 -2'
_cell_length_a 2.866
_cell_length_b 4.512
_cell_length_c 9.579
_cell_angle_alpha 90.00
_cell_angle_beta 90.00
_cell_angle_gamma 90.00
loop_
_atom_site_label
_atom_site_type_symbol
_atom_site_fract_x
_atom_site_fract_y
_atom_site_fract_z
Zn1 Zn 0.000 0.000 0.000
Ir1 Ir 0.000 0.000 0.513
Ir2 Ir 0.000 0.500 0.251
Br1 Br 0.000 0.500 0.784
```

two) ZnIr2Br | GGA-PBEsol | relaxed

Properties
Magnetic moment   0.000 Bohr magnetons per cell
DOS(E_F)   0.80 states/eV/atom

CIF file:
```
data_ZnIr2Br
_symmetry_space_group_name_H-M 'C m m 2'
_symmetry_Int_Tables_number 35
_symmetry_space_group_name_Hall 'C 2 -2'
_cell_length_a 2.744
_cell_length_b 4.925
_cell_length_c 9.750
_cell_angle_alpha 90.00
_cell_angle_beta 90.00
_cell_angle_gamma 90.00
loop_
_atom_site_label
_atom_site_type_symbol
_atom_site_fract_x
_atom_site_fract_y
_atom_site_fract_z
Zn1 Zn 0.000 0.000 0.000
Ir1 Ir 0.000 0.000 0.549
Ir2 Ir 0.000 0.500 0.776
Br1 Br 0.000 0.500 0.307
```

Result of the stability comparison: two) is the most stable of them.